# 1
A relaxed structure of LiTaGaCu. Source: OQMD, functional PBE.

Geometry as POSCAR:
```
LiTaGaCu
1.0
0.000 3.059 3.059
3.059 0.000 3.059
3.059 3.059 0.000
Ta Cu Ga Li
1 1 1 1
Direct
0.250 0.250 0.250 Ta
0.750 0.750 0.750 Cu
0.000 0.000 0.000 Ga
0.500 0.500 0.500 Li
```

Total moment in Bohr magnetons per cell: 0.00
Excess energy over the best structure of this formula in the dataset in meV per atom: 39.6
DFT total energy in eV/atom: -4.89

***

# 2
A relaxed structure of Zr2AlPt. Source: OQMD, functional PBE.

Geometry as POSCAR:
```
Zr2AlPt
1.0
4.718 -0.175 0.402
2.478 3.997 0.582
2.059 0.926 4.166
Pt Zr Al
1 2 1
Direct
0.250 0.250 0.250 Pt
0.750 0.750 0.750 Zr
0.000 0.000 0.000 Zr
0.500 0.500 0.500 Al
```

Total moment in Bohr magnetons per cell: 3.00
DFT total energy in eV/atom: -7.13

***

# 3
A relaxed structure of TbYCd4. Source: OQMD, functional PBE.

Geometry as POSCAR:
```
TbYCd4
1.0
-3.201 1.141 -0.570
-0.834 0.099 4.884
2.834 8.075 0.321
Cd Y Tb
4 1 1
Direct
0.001 0.000 0.667 Cd
0.999 0.500 0.833 Cd
0.001 0.500 0.167 Cd
0.999 0.000 0.333 Cd
0.500 0.000 0.000 Y
0.500 0.500 0.500 Tb
```

Total moment in Bohr magnetons per cell: 0.02
DFT total energy in eV/atom: -2.79
Calculated formation energy in eV per atom: -0.34

***

# 4
A relaxed structure of HfTaFeCu. Source: OQMD, functional PBE.

Geometry as POSCAR:
```
HfTaFeCu
1.0
-0.304 2.649 3.495
-3.200 3.006 0.207
-3.304 -0.500 2.856
Fe Hf Ta Cu
1 1 1 1
Direct
0.500 0.500 0.500 Fe
0.000 0.000 0.000 Hf
0.250 0.250 0.250 Ta
0.750 0.750 0.750 Cu
```

Total moment in Bohr magnetons per cell: 0.00
Excess energy over the best structure of this formula in the dataset in meV per atom: 232.8
DFT total energy in eV/atom: -8.28
Calculated formation energy in eV per atom: 0.18

***

# 5
A relaxed structure of Na2In4NiPt. Source: OQMD, functional PBE.

Geometry as POSCAR:
```
Na2In4NiPt
1.0
7.837 0.000 0.000
0.000 2.133 5.236
0.000 -2.133 5.236
Na Ni In Pt
2 1 4 1
Direct
0.500 0.567 0.567 Na
0.000 0.435 0.435 Na
0.000 0.717 0.717 Ni
0.292 0.855 0.855 In
0.807 0.144 0.144 In
0.708 0.855 0.855 In
0.193 0.144 0.144 In
0.500 0.282 0.282 Pt
```

Total moment in Bohr magnetons per cell: 0.00
DFT total energy in eV/atom: -3.40

***

# 6
A relaxed structure of SrTbPO. Source: OQMD, functional PBE.

Geometry as POSCAR:
```
SrTbPO
1.0
5.453 0.000 0.000
0.000 5.453 0.000
0.000 0.000 5.678
Tb O Sr P
2 2 2 2
Direct
0.750 0.250 0.500 Tb
0.250 0.750 0.500 Tb
0.250 0.750 0.000 O
0.750 0.250 0.000 O
0.250 0.250 0.001 Sr
0.750 0.750 0.999 Sr
0.250 0.250 0.501 P
0.750 0.750 0.499 P
```

Total moment in Bohr magnetons per cell: 0.00
Excess energy over the best structure of this formula in the dataset in meV per atom: 48.0
DFT total energy in eV/atom: -6.10

***

# 7
A relaxed structure of PmTaN2O. Source: OQMD, functional PBE.

Geometry as POSCAR:
```
PmTaN2O
1.0
7.971 0.000 0.000
0.000 8.041 0.000
-7.849 0.000 7.995
Ta N Pm O
8 16 8 8
Direct
0.016 0.507 0.262 Ta
0.984 0.007 0.238 Ta
0.491 0.497 0.737 Ta
0.984 0.493 0.738 Ta
0.016 0.993 0.762 Ta
0.509 0.997 0.763 Ta
0.491 0.003 0.237 Ta
0.509 0.503 0.263 Ta
0.191 0.040 0.000 N
0.703 0.462 0.703 N
0.475 0.751 0.698 N
0.297 0.962 0.797 N
0.703 0.038 0.203 N
0.191 0.460 0.500 N
0.297 0.538 0.297 N
0.475 0.749 0.198 N
0.809 0.540 0.500 N
0.019 0.250 0.719 N
0.809 0.960 0.000 N
0.981 0.750 0.281 N
0.981 0.750 0.781 N
0.019 0.250 0.219 N
0.525 0.251 0.802 N
0.525 0.249 0.302 N
0.546 0.746 0.023 Pm
0.454 0.254 0.977 Pm
0.454 0.246 0.477 Pm
0.957 0.244 0.478 Pm
0.043 0.744 0.022 Pm
0.043 0.756 0.522 Pm
0.957 0.256 0.978 Pm
0.546 0.754 0.523 Pm
0.795 0.547 0.001 O
0.691 0.458 0.190 O
0.795 0.953 0.501 O
0.309 0.958 0.310 O
0.309 0.542 0.810 O
0.691 0.042 0.690 O
0.205 0.047 0.499 O
0.205 0.453 0.999 O
```

Total moment in Bohr magnetons per cell: 0.01
DFT total energy in eV/atom: -9.57

***

# 8
A relaxed structure of Er2Tm3ScSb2Os. Source: OQMD, functional PBE.

Geometry as POSCAR:
```
Er2Tm3ScSb2Os
1.0
-3.604 -0.166 -2.044
-3.760 -2.024 6.794
0.753 7.746 -1.955
Sc Tm Er Sb Os
1 3 2 2 1
Direct
0.000 0.613 0.613 Sc
0.500 0.997 0.759 Tm
0.500 0.237 0.237 Tm
0.500 0.759 0.997 Tm
0.000 0.000 0.391 Er
0.000 0.391 0.000 Er
0.500 0.339 0.665 Sb
0.500 0.665 0.339 Sb
0.000 0.998 0.998 Os
```

Total moment in Bohr magnetons per cell: 0.02
DFT total energy in eV/atom: -6.03